No. 1
This record from the Alexandria database describes an optimized crystal structure of BeTcGe3. The functional is PBE.

Computed properties:
Space group: Pm-3m, No. 221
Uncorrected energy, eV/atom: -4.8737
DOS at the Fermi energy, states/eV per cell: 4.59
Energy above the lowest structure with this stoichiometry, meV per atom: 0

a b c (Å): 4.8116 4.8116 4.8116
angles (deg): 90.00 90.00 90.00
With the nearest neighbours (Å) after each atom.
Element x y z (fractional)
Be 0.0000 0.0000 0.0000  12 Ge 3.40
Tc 0.5000 0.5000 0.5000  6 Ge 2.41
Ge 0.0000 0.5000 0.5000  2 Tc 2.41
Ge 0.5000 0.0000 0.5000  2 Tc 2.41
Ge 0.5000 0.5000 0.0000  2 Tc 2.41

No. 2
This record from the Alexandria database describes an optimized crystal structure of BeTcGe3. The functional is PBE.

Computed properties:
Space group: Pm-3m, No. 221
Uncorrected energy, eV/atom: -4.6766
DOS at the Fermi energy, states/eV per cell: 4.27
Energy above the lowest structure with this stoichiometry, meV per atom: 197

a b c (Å): 4.4265 4.4265 4.4265
angles (deg): 90.00 90.00 90.00
With the nearest neighbours (Å) after each atom.
Element x y z (fractional)
Be 0.0000 0.0000 0.0000  6 Ge 2.21
Tc 0.5000 0.5000 0.5000  12 Ge 3.13
Ge 0.0000 0.0000 0.5000  2 Be 2.21
Ge 0.0000 0.5000 0.0000  2 Be 2.21
Ge 0.5000 0.0000 0.0000  2 Be 2.21

No. 3
This record from the Alexandria database describes an optimized crystal structure of BeTc3Ge. The functional is PBE.

Computed properties:
Space group: Pm-3m, No. 221
Uncorrected energy, eV/atom: -7.2338
DOS at the Fermi energy, states/eV per cell: 7.76
Energy above the lowest structure with this stoichiometry, meV per atom: 0

a b c (Å): 4.1560 4.1560 4.1560
angles (deg): 90.00 90.00 90.00
With the nearest neighbours (Å) after each atom.
Element x y z (fractional)
Be 0.0000 0.0000 0.0000  6 Tc 2.08
Tc 0.0000 0.0000 0.5000  2 Be 2.08
Tc 0.0000 0.5000 0.0000  2 Be 2.08
Tc 0.5000 0.0000 0.0000  2 Be 2.08
Ge 0.5000 0.5000 0.5000  12 Tc 2.94

No. 4
This record from the Alexandria database describes an optimized crystal structure of BeTcGeTe2. The functional is PBE.

Computed properties:
Space group: P4/mmm, No. 123
Uncorrected energy, eV/atom: -3.9369
DOS at the Fermi energy, states/eV per cell: 4.82
Energy relative to the elements, uncorrected, meV per atom: 1061.6

a b c (Å): 5.6011 5.6011 4.0643
angles (deg): 90.00 90.00 90.00
With the nearest neighbours (Å) after each atom.
Element x y z (fractional)
Be 0.0000 0.0000 0.0000  2 Ge 2.03
Tc 0.5000 0.5000 0.0000  8 Te 3.46
Ge 0.0000 0.0000 0.5000  2 Be 2.03
Te 0.0000 0.5000 0.5000  2 Ge 2.80
Te 0.5000 0.0000 0.5000  2 Ge 2.80

No. 5
This record from the Alexandria database describes an optimized crystal structure of ThBe2TcGe2. The functional is PBE.

Computed properties:
Space group: P-3m1, No. 164
Uncorrected energy, eV/atom: -6.0648
DOS at the Fermi energy, states/eV per cell: 2.26

a b c (Å): 3.9948 3.9948 6.9075
angles (deg): 90.00 90.00 120.00
With the nearest neighbours (Å) after each atom.
Element x y z (fractional)
Th 0.0000 0.0000 0.0000  6 Ge 3.06, 6 Be 3.31
Be 0.3333 0.6667 0.3431  4 Ge 2.33-2.52, 3 Tc 2.55
Be 0.6667 0.3333 0.6569  4 Ge 2.33-2.52, 3 Tc 2.55
Tc 0.0000 0.0000 0.5000  6 Be 2.55, 6 Ge 2.72
Ge 0.3333 0.6667 0.7081  4 Be 2.33-2.52
Ge 0.6667 0.3333 0.2919  4 Be 2.33-2.52

No. 6
This record from the Alexandria database describes an optimized crystal structure of Be2TlTcGe. The functional is PBE.

Computed properties:
Space group: P4/mmm, No. 123
Uncorrected energy, eV/atom: -4.0773
DOS at the Fermi energy, states/eV per cell: 2.38

a b c (Å): 4.2049 4.2049 5.0181
angles (deg): 90.00 90.00 90.00
With the nearest neighbours (Å) after each atom.
Element x y z (fractional)
Be 0.0000 0.5000 0.0000  2 Ge 2.10
Be 0.5000 0.0000 0.0000  2 Ge 2.10
Tl 0.0000 0.0000 0.5000  4 Tc 2.97, 8 Be 3.27
Tc 0.5000 0.5000 0.5000  2 Ge 2.51
Ge 0.5000 0.5000 0.0000  4 Be 2.10

No. 7
This record from the Alexandria database describes an optimized crystal structure of TmBe2TcGe2. The functional is PBE.

Computed properties:
Space group: P-3m1, No. 164
Uncorrected energy, eV/atom: -5.5686
DOS at the Fermi energy, states/eV per cell: 3.32

a b c (Å): 3.9921 3.9921 6.4392
angles (deg): 90.00 90.00 120.00
With the nearest neighbours (Å) after each atom.
Element x y z (fractional)
Tm 0.0000 0.0000 0.0000  6 Ge 2.89, 2 Tc 3.22, 6 Be 3.23
Be 0.3333 0.6667 0.3516  4 Ge 2.36-2.44, 3 Tc 2.50
Be 0.6667 0.3333 0.6484  4 Ge 2.36-2.44, 3 Tc 2.50
Tc 0.0000 0.0000 0.5000  6 Be 2.50, 6 Ge 2.74
Ge 0.3333 0.6667 0.7303  4 Be 2.36-2.44
Ge 0.6667 0.3333 0.2697  4 Be 2.36-2.44

No. 8
This record from the Alexandria database describes an optimized crystal structure of BeGeTe. The functional is PBE.

Computed properties:
Space group: P1, No. 1
Uncorrected energy, eV/atom: -3.7604
DOS at the Fermi energy, states/eV per cell: 2.20
Energy relative to the elements, uncorrected, meV per atom: 68.0
Energy above the lowest structure with this stoichiometry, meV per atom: 0

a b c (Å): 3.7672 3.7983 10.3432
angles (deg): 79.66 79.58 89.99
With the nearest neighbours (Å) after each atom.
Element x y z (fractional)
Be 0.0000 0.0000 0.0000  2 Ge 2.30, 2 Te 2.50
Be 0.4958 0.4987 0.0044  2 Ge 2.32, 2 Te 2.48
Ge 0.0632 0.5639 0.8695  4 Be 2.30-2.32, 1 Ge 2.45
Ge 0.1868 0.6830 0.6244  1 Ge 2.45
Te 0.4185 0.9207 0.1638  4 Be 2.48-2.50
Te 0.7340 0.2293 0.5300  4 Ge 2.84

> What is the uncorrected energy in the second record?

-4.6766 eV/atom

> DOS at the Fermi energy of number 4 (BeTcGeTe2)?

4.82 states/eV per cell

> Which value of uncorrected energy does entry 2 give?

-4.6766 eV/atom